A plane-wave DFT calculation with PBE-GGA was carried out for a relaxed MnNb2Rh9 crystal.

Values from the calculation:
Symmetry ... P4/mmm
ρ ... 11.1 Mg/m³
M_tot ... 3.1 μB/f.u.
Uncorrected energy ... -8.343 eV per atom

Cell: 3.8843 3.8843 11.6129 Å, 90.00 90.00 90.00°
Closest atoms and distances in Å follow each position.
Sites, in units of the cell vectors:
Rh  0.5000  0.0000  0.1643  2 Mn 2.72, 8 Rh 2.72-2.75, 2 Nb 2.73
Rh  0.0000  0.5000  0.1643  8 Rh 2.72-2.75, 2 Mn 2.72, 2 Nb 2.73
Nb  0.0000  0.0000  0.6709  12 Rh 2.73-2.78
Nb  0.0000  0.0000  0.3291  12 Rh 2.73-2.78
Rh  0.5000  0.5000  0.3324  4 Nb 2.75, 8 Rh 2.75
Rh  0.5000  0.5000  0.6676  4 Nb 2.75, 8 Rh 2.75
Rh  0.5000  0.5000  0.0000  8 Rh 2.72, 4 Mn 2.75
Mn  0.0000  0.0000  0.0000  12 Rh 2.72-2.75
Rh  0.0000  0.5000  0.8357  8 Rh 2.72-2.75, 2 Mn 2.72, 2 Nb 2.73
Rh  0.0000  0.5000  0.5000  8 Rh 2.75, 4 Nb 2.78
Rh  0.5000  0.0000  0.8357  2 Mn 2.72, 8 Rh 2.72-2.75, 2 Nb 2.73
Rh  0.5000  0.0000  0.5000  8 Rh 2.75, 4 Nb 2.78


A plane-wave DFT calculation with PBE-GGA was carried out for a relaxed Tb2CuGe3 crystal.

Values from the calculation:
Symmetry ... Pmm2
ρ ... 8.1 Mg/m³
Energy above the most stable polymorph in this dataset ... 2.5 kJ/mol of atoms
M_tot ... 0.0 μB/f.u.
Uncorrected energy ... -5.176 eV per atom

Cell: 4.0532 4.2426 7.1054 Å, 90.00 90.00 90.00°
Closest atoms and distances in Å follow each position.
Sites, in units of the cell vectors:
Tb  0.0000  0.5000  0.9967  2 Cu 3.08, 10 Ge 3.15-3.22
Ge  0.5000  0.5000  0.6532  1 Cu 2.34, 2 Ge 2.49
Ge  0.5000  0.0000  0.8372  3 Ge 2.47-2.49
Tb  0.0000  0.0000  0.5047  8 Ge 3.05-3.12, 4 Cu 3.20
Ge  0.5000  0.0000  0.1845  2 Cu 2.34, 1 Ge 2.47
Cu  0.5000  0.5000  0.3237  3 Ge 2.34


Question: Among the records above, which one has the lowest uncorrected energy?
Answer: MnNb2Rh9